one.
{
  "formula": "Pr7Sm3Tm",
  "functional": "PBE",
  "state": "relaxed",
  "magmom_total_mub_per_cell": 0.0,
  "crystal_system": "orthorhombic",
  "lattice_angstrom": [[-0.193, 3.443, 4.912], [-7.968, -1.061, -3.230], [-0.915, -8.341, 2.151]],
  "species": ["Pr", "Pr", "Pr", "Pr", "Pr", "Pr", "Pr", "Sm", "Sm", "Sm", "Tm"],
  "fractional_positions": [[0.211, 0.211, 0.211], [0.306, 0.016, 0.598], [0.694, 0.402, 0.984], [0.306, 0.598, 0.016], [0.000, 0.500, 0.500], [0.694, 0.984, 0.402], [0.789, 0.789, 0.789], [0.000, 0.793, 0.207], [0.500, 0.000, 0.000], [0.000, 0.207, 0.793], [0.500, 0.500, 0.500]]
}

two.
{
  "formula": "Pr7Sm3Tm",
  "functional": "PBE",
  "state": "relaxed",
  "magmom_total_mub_per_cell": 0.0,
  "crystal_system": "triclinic",
  "lattice_angstrom": [[-3.487, 9.359, -2.995], [-3.628, -9.071, 2.881], [-1.527, 9.086, 9.048]],
  "species": ["Pr", "Pr", "Pr", "Pr", "Pr", "Pr", "Pr", "Pr", "Pr", "Pr", "Pr", "Pr", "Pr", "Pr", "Sm", "Sm", "Sm", "Sm", "Sm", "Sm", "Tm", "Tm"],
  "fractional_positions": [[0.122, 0.796, 0.232], [0.808, 0.738, 0.734], [0.159, 0.539, 0.554], [0.065, 0.415, 0.061], [0.595, 0.909, 0.995], [0.693, 0.015, 0.481], [0.273, 0.305, 0.767], [0.727, 0.695, 0.233], [0.405, 0.091, 0.005], [0.307, 0.985, 0.519], [0.935, 0.585, 0.939], [0.841, 0.461, 0.446], [0.192, 0.262, 0.266], [0.878, 0.204, 0.768], [0.415, 0.743, 0.759], [0.000, 0.000, 0.000], [0.000, 0.000, 0.500], [0.465, 0.802, 0.260], [0.535, 0.198, 0.740], [0.585, 0.257, 0.241], [0.500, 0.500, 0.000], [0.500, 0.500, 0.500]]
}

List of relative energies, unit eV/atom: one 0.096; two 0.000